Record 1
A plane-wave DFT calculation with GGA-PBE was carried out for crystalline Pr2Ag2Au at its relaxed geometry.

a b c (Å): 4.209 5.844 11.493
angles (deg): 92.10 79.45 68.89
Element x y z (fractional)
Pr 0.332 0.672 0.664
Pr 0.668 0.328 0.336
Ag 0.357 0.179 0.107
Pr 0.073 0.743 0.112
Ag 0.104 0.248 0.543
Ag 0.896 0.752 0.457
Au 0.395 0.900 0.311
Pr 0.927 0.257 0.888
Ag 0.643 0.821 0.893
Au 0.605 0.100 0.689

## Properties
- spin magnetization (μB/f.u.) = 0.000
- energy relative to the lowest polymorph listed for this composition (eV per atom) = 0.000
- formation energy (meV per atom) = -425
- SG = C2/m, No. 12

***

Record 2
A plane-wave DFT calculation with GGA-PBE was carried out for crystalline Pr2Ag3Au at its relaxed geometry.

a b c (Å): 3.656 4.831 8.268
angles (deg): 90.00 90.00 90.00
Element x y z (fractional)
Pr 0.000 0.500 0.010
Au 0.500 0.500 0.334
Ag 0.500 0.000 0.164
Ag 0.500 0.500 0.671
Ag 0.500 0.000 0.831
Pr 0.000 0.000 0.491

## Properties
- spin magnetization (μB/f.u.) = 0.000
- energy relative to the lowest polymorph listed for this composition (eV per atom) = 0.000
- formation energy (meV per atom) = -397
- SG = Pmm2, No. 25

***

Record 3
A plane-wave DFT calculation with GGA-PBE was carried out for crystalline PrAgRhAu at its relaxed geometry.

a b c (Å): 4.897 4.897 4.897
angles (deg): 60.00 60.00 60.00
Element x y z (fractional)
Ag 0.250 0.250 0.250
Pr 0.750 0.750 0.750
Rh 0.500 0.500 0.500
Au 0.000 0.000 0.000

## Properties
- spin magnetization (μB/f.u.) = 0.000
- formation energy (meV per atom) = -306
- SG = F-43m, No. 216

***

Record 4
A plane-wave DFT calculation with GGA-PBE was carried out for crystalline PrSi2AgAu5 at its relaxed geometry.

a b c (Å): 4.892 4.892 7.526
angles (deg): 90.00 90.00 90.00
Element x y z (fractional)
Pr 0.000 0.000 0.500
Au 0.000 0.500 0.231
Si 0.500 0.500 0.840
Au 0.500 0.000 0.769
Si 0.500 0.500 0.160
Ag 0.000 0.000 0.000
Au 0.000 0.500 0.769
Au 0.500 0.000 0.231
Au 0.500 0.500 0.500

## Properties
- spin magnetization (μB/f.u.) = 0.000
- SG = P4/mmm, No. 123
- formation energy from raw total energies (eV per formula unit) = -2.1

***

Record 5
A plane-wave DFT calculation with GGA-PBE was carried out for crystalline TbPrAgAu at its relaxed geometry.

a b c (Å): 3.665 3.665 7.510
angles (deg): 90.00 90.00 90.00
Element x y z (fractional)
Tb 0.000 0.000 0.350
Ag 0.500 0.500 0.586
Au 0.500 0.500 0.131
Pr 0.000 0.000 0.862

## Properties
- spin magnetization (μB/f.u.) = 0.001
- energy relative to the lowest polymorph listed for this composition (eV per atom) = 0.000
- formation energy (meV per atom) = -551
- SG = P4mm, No. 99

***

Record 6
A plane-wave DFT calculation with GGA-PBE was carried out for crystalline TbPrAgAu at its relaxed geometry.

a b c (Å): 5.230 5.230 5.230
angles (deg): 60.00 60.00 60.00
Element x y z (fractional)
Ag 0.250 0.250 0.250
Au 0.750 0.750 0.750
Pr 0.500 0.500 0.500
Tb 0.000 0.000 0.000

## Properties
- spin magnetization (μB/f.u.) = 0.000
- energy relative to the lowest polymorph listed for this composition (eV per atom) = 0.026
- formation energy (meV per atom) = -525
- SG = F-43m, No. 216

***

Record 7
A plane-wave DFT calculation with GGA-PBE was carried out for crystalline PrAgTe3Au at its relaxed geometry.

a b c (Å): 4.373 8.254 9.539
angles (deg): 97.42 90.00 90.00
Element x y z (fractional)
Te 0.250 0.104 0.879
Au 0.250 0.081 0.582
Te 0.750 0.283 0.514
Te 0.250 0.596 0.856
Ag 0.750 0.356 0.832
Ag 0.250 0.644 0.168
Au 0.750 0.919 0.418
Te 0.750 0.404 0.144
Te 0.750 0.896 0.121
Pr 0.750 0.836 0.749
Te 0.250 0.717 0.486
Pr 0.250 0.164 0.251

## Properties
- spin magnetization (μB/f.u.) = 0.000
- SG = P2_1/m, No. 11
- formation energy from raw total energies (eV per formula unit) = -3.3

***

Record 8
A plane-wave DFT calculation with GGA-PBE was carried out for crystalline Pr4TlAg2Au at its relaxed geometry.

a b c (Å): 5.391 5.391 9.324
angles (deg): 73.20 73.20 60.00
Element x y z (fractional)
Pr 0.130 0.130 0.611
Ag 0.744 0.744 0.768
Tl 0.000 0.000 0.000
Pr 0.870 0.870 0.389
Ag 0.256 0.256 0.232
Pr 0.380 0.380 0.859
Pr 0.620 0.620 0.141
Au 0.500 0.500 0.500

## Properties
- spin magnetization (μB/f.u.) = 0.002
- formation energy (meV per atom) = -412
- SG = R-3m, No. 166